PaCrO3 | GGA+U | optimized geometry

```
PaCrO3
1.0
4.3446 0.0000 0.0000
0.0000 4.3446 0.0000
0.0000 0.0000 4.3446
Pa Cr O
1 1 3
Cartesian
0.0000 0.0000 0.0000
2.1723 2.1723 2.1723
0.0000 0.0000 2.1723
0.0000 2.1723 0.0000
2.1723 0.0000 0.0000
```

Properties
volume: 82.0 Å³/cell
energy: -8.8323 eV/atom